# SiTeSe3 GGA-PBE relaxed
data_SiTeSe3
_symmetry_space_group_name_H-M 'P -1'
_symmetry_Int_Tables_number 2
_cell_length_a 6.429
_cell_length_b 6.834
_cell_length_c 7.433
_cell_angle_alpha 115.28
_cell_angle_beta 90.04
_cell_angle_gamma 90.00
loop_
_symmetry_equiv_pos_as_xyz
'x,y,z'
'-x,-y,-z'
loop_
_atom_site_label
_atom_site_fract_x
_atom_site_fract_y
_atom_site_fract_z
Si1 0.000 0.000 0.000
Si2 0.500 0.000 0.000
Te1 0.250 0.484 0.838
Se1 0.250 0.301 0.124
Se2 0.250 0.811 0.713
Se3 0.250 0.832 0.163
# - E above lowest polymorph (kcal/mol of atoms) = 0.00
# - formation energy (no corrections) (kJ/mol of formula units) = -51